Here is a relaxed FePtOF2 crystal from Alexandria. Energies are from PBE with a Hubbard U.

Geometry as POSCAR:
```
FePtOF2
1.0
3.946 0.000 0.000
0.000 3.946 0.000
0.000 0.000 4.042
Pt O F Fe
1 1 2 1
Direct
0.500 0.500 0.500
0.000 0.000 0.500
0.500 0.000 0.000
0.000 0.500 0.000
0.000 0.000 0.000
```

V	12.59	A^3/atom
energy	-4.807	eV/atom
N(E_F)	3.20	states/eV/f.u.
M_tot	6.0	μB per formula unit
symmetry	P4/mmm (123)